Entry 1:
VASP calculation (PBE-GGA) on an optimized crystal structure of CuTcP2Ru.

a b c (Å): 4.2687 4.2687 4.6523
angles (deg): 90.00 90.00 90.00
Sites, in units of the cell vectors:
Cu 0.0000 0.0000 0.0000
Tc 0.0000 0.0000 0.5000
P 0.0000 0.5000 0.0000
P 0.5000 0.0000 0.0000
Ru 0.5000 0.5000 0.5000

Values from the calculation:
Space group: P4/mmm
Formation energy, eV per atom: 1.436
Theoretical density, g/cm³: 6.4

Entry 2:
VASP calculation (PBE-GGA) on an optimized crystal structure of Cu2TcPRu.

a b c (Å): 4.6671 4.6671 4.3044
angles (deg): 90.00 90.00 90.00
Sites, in units of the cell vectors:
Cu 0.0000 0.5000 0.0000
Cu 0.5000 0.0000 0.0000
Tc 0.0000 0.0000 0.5000
P 0.5000 0.5000 0.5000
Ru 0.5000 0.5000 0.0000

Values from the calculation:
Space group: P4/mmm
Formation energy, eV per atom: 1.174
Theoretical density, g/cm³: 6.3

Entry 3:
VASP calculation (PBE-GGA) on an optimized crystal structure of Cu3PS.

a b c (Å): 4.3759 4.3759 4.3759
angles (deg): 90.00 90.00 90.00
Sites, in units of the cell vectors:
Cu 0.0000 0.0000 0.5000
Cu 0.0000 0.5000 0.0000
Cu 0.5000 0.0000 0.0000
P 0.0000 0.0000 0.0000
S 0.5000 0.5000 0.5000

Values from the calculation:
Space group: Pm-3m
Formation energy without anion corrections, eV/atom: 0.40
Theoretical density, g/cm³: 5.0

| no. | spin magnetization (μB/f.u.) | density of states at the Fermi level (states/eV/cell) | calculated total energy (eV per atom) |
| --- | --- | --- | --- |
| 1 | 3.7 | 5.2 | -5.476 |
| 2 | 4.3 | 5.1 | -5.474 |
| 3 | 0.0 | 4.3 | -3.967 |